P) First-principles (PBE-GGA) data for Hf2HgF after structural relaxation, as listed in the Alexandria database.

## Properties
- space-group type = No. 122

a = 5.1333 Å, b = 5.1333 Å, c = 7.6256 Å
α = 70.33°, β = 70.33°, γ = 90.00°
Fractional coordinates of all 8 atoms:
Hf  0.5180  0.1250  0.2500
Hf  0.2320  0.6250  0.2500
Hf  0.3750  0.4820  0.7500
Hf  0.8750  0.7680  0.7500
Hg  0.0000  0.0000  0.0000
Hg  0.7500  0.2500  0.5000
F  0.5000  0.5000  0.0000
F  0.2500  0.7500  0.5000



Q) First-principles (PBE-GGA) data for Hf2HgF after structural relaxation, as listed in the Alexandria database.

## Properties
- space-group type = No. 225

a = 4.7272 Å, b = 4.7272 Å, c = 4.7272 Å
α = 60.00°, β = 60.00°, γ = 60.00°
Fractional coordinates of all 4 atoms:
Hf  0.2500  0.2500  0.2500
Hf  0.7500  0.7500  0.7500
Hg  0.5000  0.5000  0.5000
F  0.0000  0.0000  0.0000



Here are the energies relative to the best structure, in meV/atom: P) 166; Q) 0.



P) First-principles (PBE-GGA) data for LiHfHg2F after structural relaxation, as listed in the Alexandria database.

## Properties
- space-group type = No. 123

a = 5.7312 Å, b = 4.0315 Å, c = 5.7312 Å
α = 90.00°, β = 90.00°, γ = 90.00°
Fractional coordinates of all 5 atoms:
Li  0.5000  0.5000  0.5000
Hf  0.0000  0.0000  0.0000
Hg  0.0000  0.0000  0.5000
Hg  0.5000  0.0000  0.0000
F  0.0000  0.5000  0.0000



Q) First-principles (PBE-GGA) data for LiHfHg2F after structural relaxation, as listed in the Alexandria database.

## Properties
- space-group type = No. 123

a = 5.5831 Å, b = 6.0920 Å, c = 5.5831 Å
α = 90.00°, β = 90.00°, γ = 90.00°
Last column: magnetic moment on the atom in μB.
Fractional coordinates of all 5 atoms:
Li  0.0000  0.5000  0.0000  0.03
Hf  0.0000  0.0000  0.0000  1.07
Hg  0.0000  0.0000  0.5000  0.03
Hg  0.5000  0.0000  0.0000  0.08
F  0.5000  0.5000  0.5000  0.02



Here are the energies relative to the best structure, in meV/atom: P) 0; Q) 1134.



P) First-principles (PBE-GGA) data for HfHgNF2 after structural relaxation, as listed in the Alexandria database.

## Properties
- space-group type = No. 123

a = 4.2096 Å, b = 4.2096 Å, c = 4.2710 Å
α = 90.00°, β = 90.00°, γ = 90.00°
Fractional coordinates of all 5 atoms:
N  0.0000  0.0000  0.5000
Hf  0.0000  0.0000  0.0000
Hg  0.5000  0.5000  0.5000
F  0.0000  0.5000  0.0000
F  0.5000  0.0000  0.0000



Q) First-principles (PBE-GGA) data for HfHgNF2 after structural relaxation, as listed in the Alexandria database.

## Properties
- space-group type = No. 123

a = 4.3371 Å, b = 4.3371 Å, c = 4.1432 Å
α = 90.00°, β = 90.00°, γ = 90.00°
Fractional coordinates of all 5 atoms:
N  0.0000  0.0000  0.5000
Hf  0.5000  0.5000  0.5000
Hg  0.0000  0.0000  0.0000
F  0.0000  0.5000  0.0000
F  0.5000  0.0000  0.0000



Here are the energies relative to the best structure, in meV/atom: P) 0; Q) 1925.